(1)
This record from Alexandria describes a geometry-optimized Sr2Ag2Hg structure. The functional is PBE.

Properties
formation energy from the elements	-0.262	eV per atom
size of the total moment	0.00	μB per cell
energy above the lowest structure with this stoichiometry	0.48	eV/f.u.

a b c (Å): 3.9812 3.9812 18.7967
angles (deg): 90.00 90.00 90.00
With the nearest neighbours (Å) after each atom.
Space group I4/mmm (No. 139)
One atom of each set of equivalent atoms:
1 Sr 0.0000 0.0000 0.1062 (multiplicity 4)  4 Ag 3.36, 4 Hg 3.45
2 Ag 0.0000 0.5000 0.2500 (multiplicity 4)  4 Ag 2.82
3 Hg 0.0000 0.0000 0.5000 (multiplicity 2)  8 Sr 3.45

***

(2)
This record from Alexandria describes a geometry-optimized Cr3As structure. The functional is PBE.

Properties
formation energy from the elements	0.096	eV per atom
size of the total moment	1.83	μB per cell

a b c (Å): 3.4838 3.4838 8.1295
angles (deg): 90.00 90.00 90.00
With the nearest neighbours (Å) after each atom.
Space group I4/mmm (No. 139)
One atom of each set of equivalent atoms:
1 Cr 0.0000 0.0000 0.0000 (multiplicity 2)  4 As 2.46, 8 Cr 2.68
2 Cr 0.0000 0.5000 0.2500 (multiplicity 4)  8 Cr 2.46-2.68, 4 As 2.68
3 As 0.0000 0.0000 0.5000 (multiplicity 2)  12 Cr 2.46-2.68

***

(3)
This record from Alexandria describes a geometry-optimized ZrBeTe2N structure. The functional is PBE.

Properties
size of the total moment	0.00	μB per cell
energy above the lowest structure with this stoichiometry	0.00	eV/f.u.
uncorrected formation energy	0.128	eV per atom

a b c (Å): 5.4688 5.4688 3.1449
angles (deg): 90.00 90.00 90.00
With the nearest neighbours (Å) after each atom.
Space group P4/mmm (No. 123)
One atom of each set of equivalent atoms:
1 Zr 0.0000 0.0000 0.0000 (multiplicity 1)  2 Zr 3.14, 8 Te 3.15
2 Be 0.5000 0.5000 0.5000 (multiplicity 1)  2 N 1.57
3 Te 0.0000 0.5000 0.5000 (multiplicity 2)  2 Be 2.73
4 N 0.5000 0.5000 0.0000 (multiplicity 1)  2 Be 1.57

***

(4)
This record from Alexandria describes a geometry-optimized LiURh4 structure. The functional is PBE.

Properties
formation energy from the elements	-0.260	eV per atom
size of the total moment	0.00	μB per cell
energy above the lowest structure with this stoichiometry	0.30	eV/f.u.

a b c (Å): 7.3306 5.3215 5.3222
angles (deg): 90.00 90.04 90.00
With the nearest neighbours (Å) after each atom.
Space group P2/c (No. 13)
One atom of each set of equivalent atoms:
1 Li 0.0000 0.2505 0.2500 (multiplicity 2)  8 Rh 2.58
2 U 0.5000 0.2500 0.7500 (multiplicity 2)  4 Rh 2.42
3 Rh 0.2308 0.0637 0.5642 (multiplicity 4)  1 U 2.42, 2 Li 2.58
4 Rh 0.2311 0.4362 0.9366 (multiplicity 4)  1 U 2.42, 2 Li 2.58

***

(5)
This record from Alexandria describes a geometry-optimized RbNbPt3 structure. The functional is PBE.

Properties
formation energy from the elements	0.454	eV per atom
size of the total moment	0.00	μB per cell
energy above the lowest structure with this stoichiometry	0.00	eV/f.u.

a b c (Å): 5.0350 5.0350 5.0350
angles (deg): 90.00 90.00 90.00
With the nearest neighbours (Å) after each atom.
Space group Pm-3m (No. 221)
One atom of each set of equivalent atoms:
1 Rb 0.0000 0.0000 0.0000 (multiplicity 1)  12 Pt 3.56
2 Nb 0.5000 0.5000 0.5000 (multiplicity 1)  6 Pt 2.52
3 Pt 0.0000 0.5000 0.5000 (multiplicity 3)  2 Nb 2.52

***

(6)
This record from Alexandria describes a geometry-optimized TlI2NCl structure. The functional is PBE.

Properties
size of the total moment	3.36	μB per cell
energy above the lowest structure with this stoichiometry	1.15	eV/f.u.
uncorrected formation energy	0.938	eV per atom

a b c (Å): 6.1297 6.1297 4.5509
angles (deg): 90.00 90.00 90.00
With the nearest neighbours (Å) after each atom.
Space group P4/mmm (No. 123)
One atom of each set of equivalent atoms:
1 Tl 0.0000 0.0000 0.0000 (multiplicity 1)  2 N 2.28
2 I 0.0000 0.5000 0.0000 (multiplicity 2)  2 Tl 3.06
3 N 0.0000 0.0000 0.5000 (multiplicity 1)  2 Tl 2.28
4 Cl 0.5000 0.5000 0.5000 (multiplicity 1)  8 I 3.82